The following is a DFT calculation (GGA-PBE) of Pm2H2SeI after structural relaxation.

Lattice parameters (Å, degrees): 3.9817 3.9817 8.9261 90.00 90.00 120.00
Space group P-3m1 (No. 164)
Unique sites:
Pm 0.3333 0.6667 0.2099 x2
H 0.3333 0.6667 0.7563 x2
Se 0.0000 0.0000 0.0000 x1
I 0.0000 0.0000 0.5000 x1

Summary:
**Density of states at the Fermi level**: 2.0 states/eV/f.u.
**Total magnetization**: 0.0000 μB/atom
**Calculated total energy**: -0.1719 Ha/atom